# 1
{"formula": "Cd2In7Ga", "functional": "PBE", "state": "optimized geometry", "final_energy_ev_per_atom": -2.359, "density_g_cm3": 7.0, "lattice": [[8.560, -3.491, 0.000], [8.560, 3.491, 0.000], [-5.620, 0.000, 8.769]], "species": ["Cd", "Cd", "Cd", "Cd", "In", "In", "In", "In", "In", "In", "In", "In", "In", "In", "In", "In", "In", "In", "Ga", "Ga"], "fractional_positions": [[0.177, 0.213, 0.298], [0.213, 0.177, 0.798], [0.787, 0.823, 0.202], [0.823, 0.787, 0.702], [0.075, 0.925, 0.250], [0.090, 0.645, 0.495], [0.220, 0.393, 0.142], [0.238, 0.620, 0.942], [0.355, 0.910, 0.005], [0.380, 0.762, 0.558], [0.393, 0.220, 0.642], [0.607, 0.780, 0.358], [0.620, 0.238, 0.442], [0.645, 0.090, 0.995], [0.762, 0.380, 0.058], [0.780, 0.607, 0.858], [0.910, 0.355, 0.505], [0.925, 0.075, 0.750], [0.490, 0.510, 0.750], [0.510, 0.490, 0.250]]}

=====

# 2
{"formula": "Cd2InGa", "functional": "PBE", "state": "optimized geometry", "final_energy_ev_per_atom": -1.861, "density_g_cm3": 7.3, "e_above_lowest_polymorph_mev_per_atom": 0, "lattice": [[4.483, 0.000, 0.000], [0.000, 4.483, 0.000], [0.000, 0.000, 4.618]], "species": ["Cd", "Cd", "In", "Ga"], "fractional_positions": [[0.000, 0.500, 0.000], [0.500, 0.000, 0.000], [0.000, 0.000, 0.500], [0.500, 0.500, 0.500]]}

=====

# 3
{"formula": "Cd2In8Ga3", "functional": "PBE", "state": "optimized geometry", "final_energy_ev_per_atom": -2.459, "density_g_cm3": 6.5, "lattice": [[9.233, 0.000, 0.000], [0.000, 4.443, 0.000], [-4.045, 0.000, 8.422]], "species": ["Cd", "Cd", "In", "In", "In", "In", "In", "In", "In", "In", "Ga", "Ga", "Ga"], "fractional_positions": [[0.239, 0.000, 0.265], [0.761, 0.000, 0.735], [0.101, 0.500, 0.400], [0.124, 0.000, 0.881], [0.365, 0.500, 0.131], [0.380, 0.000, 0.625], [0.620, 0.000, 0.375], [0.635, 0.500, 0.869], [0.876, 0.000, 0.119], [0.899, 0.500, 0.600], [0.264, 0.500, 0.764], [0.500, 0.000, 0.000], [0.736, 0.500, 0.236]]}

=====

# 4
{"formula": "Cd5In12Ga3", "functional": "PBE", "state": "optimized geometry", "final_energy_ev_per_atom": -2.159, "density_g_cm3": 6.0, "lattice": [[-8.430, 8.430, 8.430], [8.430, -8.430, 8.430], [8.430, 8.430, -8.430]], "species": ["Cd", "Cd", "Cd", "Cd", "Cd", "Cd", "Cd", "Cd", "Cd", "Cd", "Cd", "Cd", "Cd", "Cd", "Cd", "Cd", "Cd", "Cd", "Cd", "Cd", "In", "In", "In", "In", "In", "In", "In", "In", "In", "In", "In", "In", "In", "In", "In", "In", "In", "In", "In", "In", "In", "In", "In", "In", "In", "In", "In", "In", "In", "In", "In", "In", "In", "In", "In", "In", "In", "In", "In", "In", "In", "In", "In", "In", "In", "In", "In", "In", "Ga", "Ga", "Ga", "Ga", "Ga", "Ga", "Ga", "Ga", "Ga", "Ga", "Ga", "Ga"], "fractional_positions": [[0.000, 0.000, 0.000], [0.000, 0.000, 0.500], [0.000, 0.500, 0.000], [0.000, 0.500, 0.500], [0.125, 0.750, 0.875], [0.125, 0.875, 0.250], [0.250, 0.125, 0.875], [0.250, 0.625, 0.375], [0.375, 0.250, 0.625], [0.375, 0.625, 0.750], [0.500, 0.000, 0.000], [0.500, 0.000, 0.500], [0.500, 0.500, 0.000], [0.500, 0.500, 0.500], [0.625, 0.375, 0.250], [0.625, 0.750, 0.375], [0.750, 0.375, 0.625], [0.750, 0.875, 0.125], [0.875, 0.125, 0.750], [0.875, 0.250, 0.125], [0.065, 0.633, 0.397], [0.065, 0.932, 0.668], [0.068, 0.236, 0.133], [0.068, 0.332, 0.935], [0.103, 0.736, 0.668], [0.103, 0.867, 0.435], [0.133, 0.068, 0.236], [0.133, 0.565, 0.897], [0.168, 0.236, 0.603], [0.168, 0.432, 0.565], [0.236, 0.133, 0.068], [0.236, 0.603, 0.168], [0.264, 0.332, 0.897], [0.264, 0.432, 0.367], [0.332, 0.897, 0.264], [0.332, 0.935, 0.068], [0.367, 0.264, 0.432], [0.367, 0.603, 0.935], [0.397, 0.065, 0.633], [0.397, 0.832, 0.764], [0.432, 0.367, 0.264], [0.432, 0.565, 0.168], [0.435, 0.103, 0.867], [0.435, 0.832, 0.568], [0.565, 0.168, 0.432], [0.565, 0.897, 0.133], [0.568, 0.435, 0.832], [0.568, 0.633, 0.736], [0.603, 0.168, 0.236], [0.603, 0.935, 0.367], [0.633, 0.397, 0.065], [0.633, 0.736, 0.568], [0.668, 0.065, 0.932], [0.668, 0.103, 0.736], [0.736, 0.568, 0.633], [0.736, 0.668, 0.103], [0.764, 0.397, 0.832], [0.764, 0.867, 0.932], [0.832, 0.568, 0.435], [0.832, 0.764, 0.397], [0.867, 0.435, 0.103], [0.867, 0.932, 0.764], [0.897, 0.133, 0.565], [0.897, 0.264, 0.332], [0.932, 0.668, 0.065], [0.932, 0.764, 0.867], [0.935, 0.068, 0.332], [0.935, 0.367, 0.603], [0.125, 0.250, 0.375], [0.125, 0.375, 0.750], [0.250, 0.375, 0.125], [0.250, 0.875, 0.625], [0.375, 0.125, 0.250], [0.375, 0.750, 0.125], [0.625, 0.250, 0.875], [0.625, 0.875, 0.750], [0.750, 0.125, 0.375], [0.750, 0.625, 0.875], [0.875, 0.625, 0.250], [0.875, 0.750, 0.625]]}

=====

# 5
{"formula": "Cd2InGa", "functional": "PBE", "state": "optimized geometry", "final_energy_ev_per_atom": -1.812, "density_g_cm3": 7.0, "e_above_lowest_polymorph_mev_per_atom": 49, "lattice": [[-2.135, 2.135, 10.614], [2.135, -2.135, 10.614], [2.135, 2.135, -10.614]], "species": ["Cd", "Cd", "Cd", "Cd", "In", "In", "Ga", "Ga"], "fractional_positions": [[0.117, 0.625, 0.992], [0.375, 0.367, 0.492], [0.633, 0.125, 0.008], [0.875, 0.883, 0.508], [0.250, 0.750, 0.500], [0.500, 0.500, 0.000], [0.000, 0.000, 0.000], [0.750, 0.250, 0.500]]}

=====

# 6
{"formula": "CdInGa", "functional": "PBE", "state": "optimized geometry", "final_energy_ev_per_atom": -2.160, "density_g_cm3": 6.9, "lattice": [[5.348, 0.000, 0.000], [0.000, 4.477, 0.000], [-2.418, 0.000, 5.953]], "species": ["Cd", "Cd", "In", "In", "Ga", "Ga"], "fractional_positions": [[0.000, 0.000, 0.000], [0.133, 0.500, 0.355], [0.641, 0.000, 0.276], [0.767, 0.500, 0.646], [0.361, 0.500, 0.949], [0.390, 0.000, 0.696]]}

=====

# 7
{"formula": "Cd2In3Ga9", "functional": "PBE", "state": "optimized geometry", "final_energy_ev_per_atom": -2.626, "density_g_cm3": 6.5, "lattice": [[-2.121, 5.235, 6.870], [2.121, -5.235, 6.870], [2.121, 5.235, -6.870]], "species": ["Cd", "Cd", "In", "In", "In", "Ga", "Ga", "Ga", "Ga", "Ga", "Ga", "Ga", "Ga", "Ga"], "fractional_positions": [[0.192, 0.000, 0.192], [0.808, 0.000, 0.808], [0.200, 0.200, 0.000], [0.500, 0.500, 0.000], [0.800, 0.800, 0.000], [0.000, 0.500, 0.500], [0.056, 0.341, 0.714], [0.222, 0.847, 0.376], [0.373, 0.659, 0.714], [0.471, 0.847, 0.624], [0.529, 0.153, 0.376], [0.627, 0.341, 0.286], [0.778, 0.153, 0.624], [0.944, 0.659, 0.286]]}

=====

# 8
{"formula": "Cd7InGa4", "functional": "PBE", "state": "optimized geometry", "final_energy_ev_per_atom": -1.696, "density_g_cm3": 7.2, "lattice": [[4.870, 0.000, 0.000], [-2.435, 4.217, 0.000], [0.000, 0.000, 13.326]], "species": ["Cd", "Cd", "Cd", "Cd", "Cd", "Cd", "Cd", "In", "Ga", "Ga", "Ga", "Ga"], "fractional_positions": [[0.000, 0.000, 0.000], [0.000, 0.000, 0.251], [0.000, 0.000, 0.749], [0.333, 0.667, 0.153], [0.333, 0.667, 0.406], [0.667, 0.333, 0.594], [0.667, 0.333, 0.847], [0.000, 0.000, 0.500], [0.333, 0.667, 0.687], [0.333, 0.667, 0.914], [0.667, 0.333, 0.086], [0.667, 0.333, 0.313]]}

=====

# 9
{"formula": "CdInGa", "functional": "PBE", "state": "optimized geometry", "final_energy_ev_per_atom": -2.175, "density_g_cm3": 7.1, "lattice": [[4.443, 0.000, 0.000], [-0.004, 4.487, 0.000], [-0.448, -2.240, 6.959]], "species": ["Cd", "Cd", "In", "In", "Ga", "Ga"], "fractional_positions": [[0.000, 0.000, 0.000], [0.497, 0.836, 0.675], [0.490, 0.179, 0.351], [0.501, 0.504, 0.007], [0.000, 0.333, 0.671], [0.990, 0.681, 0.351]]}

=====

# 10
{"formula": "CdIn9Ga2", "functional": "PBE", "state": "optimized geometry", "final_energy_ev_per_atom": -2.589, "density_g_cm3": 7.0, "lattice": [[4.775, 0.000, 0.000], [0.000, 4.775, 0.000], [0.000, 0.000, 13.410]], "species": ["Cd", "In", "In", "In", "In", "In", "In", "In", "In", "In", "Ga", "Ga"], "fractional_positions": [[0.000, 0.000, 0.000], [0.000, 0.500, 0.170], [0.000, 0.500, 0.500], [0.000, 0.500, 0.830], [0.500, 0.000, 0.170], [0.500, 0.000, 0.500], [0.500, 0.000, 0.830], [0.500, 0.500, 0.000], [0.500, 0.500, 0.335], [0.500, 0.500, 0.665], [0.000, 0.000, 0.340], [0.000, 0.000, 0.660]]}

=====

# 11
{"formula": "CdInGa", "functional": "PBE", "state": "optimized geometry", "final_energy_ev_per_atom": -2.187, "density_g_cm3": 7.1, "lattice": [[5.156, -2.239, 0.000], [5.156, 2.239, 0.000], [-0.898, 0.000, 2.995]], "species": ["Cd", "In", "Ga"], "fractional_positions": [[0.000, 0.000, 0.000], [0.325, 0.325, 0.326], [0.657, 0.657, 0.654]]}

=====

# 12
{"formula": "CdInGa", "functional": "PBE", "state": "optimized geometry", "final_energy_ev_per_atom": -2.176, "density_g_cm3": 7.1, "lattice": [[4.410, 0.000, 0.000], [-2.073, 5.060, 0.000], [-0.061, -2.123, 6.211]], "species": ["Cd", "Cd", "In", "In", "Ga", "Ga"], "fractional_positions": [[0.169, 0.342, 0.333], [0.831, 0.658, 0.667], [0.500, 0.000, 0.000], [0.500, 0.000, 0.500], [0.167, 0.337, 0.846], [0.833, 0.663, 0.154]]}

=====

# 13
{"formula": "Cd2In3Ga", "functional": "PBE", "state": "optimized geometry", "final_energy_ev_per_atom": -1.987, "density_g_cm3": 6.4, "lattice": [[6.152, 0.000, 0.000], [-3.076, 5.328, 0.000], [0.000, 0.000, 5.093]], "species": ["Cd", "Cd", "In", "In", "In", "Ga"], "fractional_positions": [[0.333, 0.667, 0.000], [0.667, 0.333, 0.000], [0.000, 0.500, 0.500], [0.500, 0.000, 0.500], [0.500, 0.500, 0.500], [0.000, 0.000, 0.000]]}

=====

# 14
{"formula": "CdInGa", "functional": "PBE", "state": "optimized geometry", "final_energy_ev_per_atom": -2.167, "density_g_cm3": 6.8, "lattice": [[7.723, 0.000, 0.000], [0.000, 4.939, 0.000], [0.000, 0.000, 7.575]], "species": ["Cd", "Cd", "Cd", "Cd", "In", "In", "In", "In", "Ga", "Ga", "Ga", "Ga"], "fractional_positions": [[0.052, 0.250, 0.096], [0.448, 0.750, 0.596], [0.552, 0.250, 0.404], [0.948, 0.750, 0.904], [0.232, 0.250, 0.721], [0.268, 0.750, 0.221], [0.732, 0.250, 0.779], [0.768, 0.750, 0.279], [0.061, 0.750, 0.552], [0.439, 0.250, 0.052], [0.561, 0.750, 0.948], [0.939, 0.250, 0.448]]}

=====

# 15
{"formula": "Cd5In8Ga", "functional": "PBE", "state": "optimized geometry", "final_energy_ev_per_atom": -2.048, "density_g_cm3": 7.0, "lattice": [[-4.514, 4.514, 4.489], [4.514, -4.514, 4.489], [4.514, 4.514, -4.489]], "species": ["Cd", "Cd", "Cd", "Cd", "Cd", "In", "In", "In", "In", "In", "In", "In", "In", "Ga"], "fractional_positions": [[0.000, 0.000, 0.000], [0.033, 0.224, 0.587], [0.554, 0.967, 0.191], [0.637, 0.446, 0.413], [0.776, 0.363, 0.809], [0.110, 0.688, 0.788], [0.272, 0.499, 0.105], [0.312, 0.100, 0.423], [0.394, 0.167, 0.895], [0.501, 0.606, 0.772], [0.678, 0.890, 0.577], [0.833, 0.728, 0.228], [0.900, 0.322, 0.212], [0.250, 0.750, 0.500]]}

=====

# 16
{"formula": "Cd5InGa", "functional": "PBE", "state": "optimized geometry", "final_energy_ev_per_atom": -1.411, "density_g_cm3": 7.3, "lattice": [[-4.244, 4.345, 4.590], [4.244, -4.345, 4.590], [4.244, 4.345, -4.590]], "species": ["Cd", "Cd", "Cd", "Cd", "Cd", "Cd", "Cd", "Cd", "Cd", "Cd", "In", "In", "Ga", "Ga"], "fractional_positions": [[0.246, 0.296, 0.550], [0.246, 0.695, 0.950], [0.247, 0.000, 0.747], [0.247, 0.500, 0.247], [0.490, 0.240, 0.250], [0.510, 0.760, 0.750], [0.753, 0.000, 0.253], [0.753, 0.500, 0.753], [0.754, 0.305, 0.050], [0.754, 0.704, 0.450], [0.000, 0.000, 0.000], [0.500, 0.000, 0.500], [0.016, 0.766, 0.250], [0.984, 0.234, 0.750]]}

=====

# 17
{"formula": "CdInGa", "functional": "PBE", "state": "optimized geometry", "final_energy_ev_per_atom": -2.153, "density_g_cm3": 7.0, "lattice": [[5.209, 0.000, 0.000], [-2.605, 4.511, 0.000], [0.000, 0.000, 5.995]], "species": ["Cd", "Cd", "In", "In", "Ga", "Ga"], "fractional_positions": [[0.000, 0.000, 0.000], [0.000, 0.000, 0.500], [0.333, 0.667, 0.250], [0.667, 0.333, 0.750], [0.333, 0.667, 0.750], [0.667, 0.333, 0.250]]}

=====

# 18
{"formula": "CdInGa", "functional": "PBE", "state": "optimized geometry", "final_energy_ev_per_atom": -2.171, "density_g_cm3": 7.0, "lattice": [[5.057, 0.000, 0.000], [2.435, 4.733, 0.000], [1.781, -0.575, 5.889]], "species": ["Cd", "Cd", "In", "In", "Ga", "Ga"], "fractional_positions": [[0.053, 0.227, 0.352], [0.947, 0.773, 0.648], [0.220, 0.131, 0.827], [0.780, 0.869, 0.173], [0.460, 0.514, 0.228], [0.540, 0.486, 0.772]]}

=====

# 19
{"formula": "CdInGa", "functional": "PBE", "state": "optimized geometry", "final_energy_ev_per_atom": -2.171, "density_g_cm3": 6.9, "lattice": [[6.586, 0.000, 0.000], [0.000, 6.253, 0.000], [0.000, 0.000, 6.930]], "species": ["Cd", "Cd", "Cd", "Cd", "In", "In", "In", "In", "Ga", "Ga", "Ga", "Ga"], "fractional_positions": [[0.178, 0.250, 0.184], [0.322, 0.750, 0.684], [0.678, 0.250, 0.316], [0.822, 0.750, 0.816], [0.124, 0.750, 0.142], [0.376, 0.250, 0.642], [0.624, 0.750, 0.358], [0.876, 0.250, 0.858], [0.000, 0.000, 0.500], [0.000, 0.500, 0.500], [0.500, 0.000, 0.000], [0.500, 0.500, 0.000]]}

=====

Number 1: formation energy 0.0433 eV/atom. Number 2: formation energy 0.0376 eV/atom. Number 3: formation energy 0.0650 eV/atom. Number 4: formation energy 0.1667 eV/atom. Number 5: formation energy 0.0869 eV/atom. Number 6: formation energy 0.0670 eV/atom. Number 7: formation energy 0.0374 eV/atom. Number 8: formation energy 0.0753 eV/atom. Number 9: formation energy 0.0514 eV/atom. Number 10: formation energy 0.0454 eV/atom. Number 11: formation energy 0.0402 eV/atom. Number 12: formation energy 0.0504 eV/atom. Number 13: formation energy 0.1922 eV/atom. Number 14: formation energy 0.0594 eV/atom. Number 15: formation energy 0.0595 eV/atom. Number 16: formation energy 0.0662 eV/atom. Number 17: formation energy 0.0734 eV/atom. Number 18: formation energy 0.0557 eV/atom. Number 19: formation energy 0.0555 eV/atom.